Density functional theory data (SCAN) for a PBEsol-optimized structure of OsBr2Cl.

abc: 4.142 4.142 4.304
angles: 90.00 90.00 90.00
Atoms (fractional coordinates):
Os1 0.000 0.000 0.000
Br1 0.000 0.500 0.500
Br2 0.500 0.000 0.500
Cl1 0.500 0.500 0.000

Properties
E_form (uncorrected) ... 1.74 eV per atom
Excess energy over the best structure of this formula in the dataset ... 1.741 eV/atom

***

Density functional theory data (SCAN) for a PBEsol-optimized structure of TcAgMo2.

abc: 3.294 3.294 5.734
angles: 90.00 90.00 90.00
Atoms (fractional coordinates):
Tc1 0.000 0.000 0.000
Ag1 0.000 0.000 0.500
Mo1 0.500 0.500 0.217
Mo2 0.500 0.500 0.783

Properties
Calculated formation energy ... 434 meV/atom
Excess energy over the best structure of this formula in the dataset ... 0.022 eV/atom

***

Density functional theory data (SCAN) for a PBEsol-optimized structure of KMg.

abc: 3.994 3.994 10.494
angles: 90.00 90.00 90.00
Atoms (fractional coordinates):
K1 0.250 0.250 0.188
K2 0.750 0.750 0.812
Mg1 0.250 0.250 0.561
Mg2 0.750 0.750 0.439

Properties
Calculated formation energy ... 164 meV/atom

***

Density functional theory data (SCAN) for a PBEsol-optimized structure of CaMnSi2.

abc: 3.618 6.116 6.116
angles: 32.10 90.00 90.00
Atoms (fractional coordinates):
Ca1 0.000 0.000 0.000
Mn1 0.500 0.726 0.726
Si1 0.000 0.244 0.244
Si2 0.500 0.374 0.374

Properties
E_form (uncorrected) ... -0.18 eV per atom

***

Density functional theory data (SCAN) for a PBEsol-optimized structure of KAlFe.

abc: 4.807 4.807 4.807
angles: 60.00 60.00 60.00
Atoms (fractional coordinates):
K1 0.000 0.000 0.000
Al1 0.750 0.750 0.750
Fe1 0.500 0.500 0.500

Properties
Calculated formation energy ... 1107 meV/atom

***

Density functional theory data (SCAN) for a PBEsol-optimized structure of KBaAu2.

abc: 3.969 3.969 7.786
angles: 90.00 90.00 90.00
Atoms (fractional coordinates):
K1 0.000 0.000 0.000
Ba1 0.000 0.000 0.500
Au1 0.500 0.500 0.278
Au2 0.500 0.500 0.722

Properties
Calculated formation energy ... -628 meV/atom
Excess energy over the best structure of this formula in the dataset ... 0.036 eV/atom

***

Number 1: spin magnetization 0.0 Bohr magnetons per cell, D(E_F) 4.15 states/eV/f.u.. Number 2: spin magnetization 0.0 Bohr magnetons per cell, D(E_F) 2.78 states/eV/f.u.. Number 3: spin magnetization 0.0 Bohr magnetons per cell, D(E_F) 1.07 states/eV/f.u.. Number 4: spin magnetization 2.7 Bohr magnetons per cell, D(E_F) 1.58 states/eV/f.u.. Number 5: spin magnetization 2.8 Bohr magnetons per cell, D(E_F) 1.96 states/eV/f.u.. Number 6: spin magnetization 0.0 Bohr magnetons per cell, D(E_F) 2.31 states/eV/f.u..